## PmSmCdSn (GGA-PBE)

Data for PmSmCdSn after structural relaxation. Values from VASP.

```
&SYSTEM
  ibrav = 0, nat = 4, ntyp = 4
/
ATOMIC_SPECIES
Cd 112.41 Cd.upf
Sn 118.71 Sn.upf
Sm 150.36 Sm.upf
Pm 145.00 Pm.upf
ATOMIC_POSITIONS angstrom
Cd -5.5822 7.2557 3.7981
Sn -1.8607 2.4186 1.2660
Sm -3.7215 4.8371 2.5321
Pm 0.0000 0.0000 0.0000
CELL_PARAMETERS angstrom
-2.7324 4.5106 -1.1378
-4.5736 1.1201 2.6332
-0.1370 4.0436 3.5688
```

Output
Uncorrected energy, eV for the cell shown: -16.521
D(E_F), states/eV/f.u.: 2.65
Energy of formation from the pure elements, eV per atom: -0.533